Compound: SmSbSe2O
Source: Alexandria via LeMat-Bulk
Functional: GGA-PBE
Structure: relaxed

Output
Uncorrected formation energy   -1642 meV per atom
Total moment   0.0 μB per formula unit

```
SmSbSe2O
1.0
4.0281 0.0000 0.0000
0.0000 4.0281 0.0000
0.0000 0.0000 14.6558
O Se Sm Sb
2 4 2 2
Direct
0.5000 0.5000 0.5000
0.0000 0.0000 0.5000
0.0000 0.5000 0.1078
0.5000 0.0000 0.8922
0.0000 0.5000 0.6867
0.5000 0.0000 0.3133
0.5000 0.0000 0.5794
0.0000 0.5000 0.4206
0.0000 0.5000 0.8626
0.5000 0.0000 0.1374
```

***

Compound: PmPrTl2
Source: Alexandria via LeMat-Bulk
Functional: GGA-PBE
Structure: relaxed

Output
E   -15.81 eV for the cell shown
Total moment   0.0 μB per formula unit

```
PmPrTl2
1.0
5.5273 0.0000 0.0000
2.7636 4.7868 0.0000
2.7636 1.5956 4.5130
Pr Tl Pm
1 2 1
Direct
0.5000 0.5000 0.5000
0.2500 0.2500 0.2500
0.7500 0.7500 0.7500
0.0000 0.0000 0.0000
```

***

Compound: Br3Cl
Source: Alexandria via LeMat-Bulk
Functional: GGA-PBE
Structure: relaxed

Output
Uncorrected formation energy   543 meV per atom
Total moment   1.1 μB per formula unit

```
Br3Cl
1.0
-1.8270 -4.0512 -3.3808
3.8740 1.3992 -3.7702
6.7395 -7.0366 0.1786
Br Cl
6 2
Direct
0.7500 0.2500 0.5000
0.7085 0.1250 0.2500
0.0415 0.6250 0.2500
0.0000 0.0000 0.0000
0.8750 0.9585 0.7500
0.3750 0.2915 0.7500
0.2500 0.7500 0.5000
0.5000 0.5000 0.0000
```

***

Compound: Sc3Fe7Co2
Source: Alexandria via LeMat-Bulk
Functional: GGA-PBE
Structure: relaxed

Output
E   -94.77 eV for the cell shown
Total moment   15.0 μB per formula unit

```
Sc3Fe7Co2
1.0
4.6492 0.0000 1.4552
2.0969 4.1495 1.4552
-0.1017 -0.0626 8.4795
Sc Co Fe
3 2 7
Direct
0.0000 0.0000 0.0000
0.8572 0.8572 0.4285
0.1428 0.1428 0.5715
0.3330 0.3330 0.0010
0.6670 0.6670 0.9990
0.5847 0.0814 0.7493
0.0814 0.5847 0.7493
0.5000 0.5000 0.5000
0.5847 0.5847 0.7493
0.4153 0.9186 0.2507
0.9186 0.4153 0.2507
0.4153 0.4153 0.2507
```

***

What is the formula in the first record? SmSbSe2O